LiHgP2O6: relaxed, PBE-GGA. Values from VASP.

Quantum ESPRESSO input file:
```
&SYSTEM
  ibrav = 0, nat = 20, ntyp = 4
/
ATOMIC_SPECIES
O 16.00 O.upf
P 30.97 P.upf
Li 6.94 Li.upf
Hg 200.59 Hg.upf
CELL_PARAMETERS angstrom
-2.766 -3.803 -0.212
1.159 -2.360 -7.332
4.847 -5.588 2.438
ATOMIC_POSITIONS angstrom
O -0.728 -4.714 0.421
P 2.479 -8.829 -2.766
Li 0.052 -6.059 -4.928
P 3.205 -6.353 -4.398
O 1.466 -3.006 -3.644
O 1.829 -2.728 -1.129
O 3.073 -7.366 -3.131
O 0.167 -4.385 -1.975
Li 3.188 -5.692 -0.179
Hg 2.501 -8.203 1.558
O -0.372 -1.913 -2.195
Hg 0.739 -3.548 -6.665
O 1.773 -8.745 -1.462
O 3.612 -9.838 -2.911
O 1.349 -6.015 -0.400
O 1.410 -9.023 -3.977
P 0.034 -5.398 -0.709
O 3.967 -7.037 -5.527
P 0.761 -2.922 -2.341
O 1.891 -5.737 -4.707
```

formation energy from raw total energies: -1.82 eV/atom



Rb2Pa2CrSe6: relaxed, PBE-GGA. Values from VASP.

Quantum ESPRESSO input file:
```
&SYSTEM
  ibrav = 0, nat = 11, ntyp = 4
/
ATOMIC_SPECIES
Se 78.96 Se.upf
Rb 85.47 Rb.upf
Pa 231.04 Pa.upf
Cr 52.00 Cr.upf
CELL_PARAMETERS angstrom
-5.294 -1.119 4.600
6.636 0.914 2.360
-1.730 8.191 -1.778
ATOMIC_POSITIONS angstrom
Se 1.098 5.941 -0.008
Rb -3.329 -0.784 4.231
Pa -2.164 3.658 2.961
Se -0.200 5.485 3.909
Se -0.187 2.502 1.273
Pa 1.776 4.329 2.221
Cr -0.865 4.096 -0.889
Se -1.486 2.046 5.190
Se -2.871 5.265 0.737
Rb 4.671 0.579 2.729
Se 2.483 2.722 4.445
```

formation energy from raw total energies: -1.18 eV/atom



Hf2Cd2Ag3: relaxed, PBE-GGA. Values from VASP.

Quantum ESPRESSO input file:
```
&SYSTEM
  ibrav = 0, nat = 7, ntyp = 3
/
ATOMIC_SPECIES
Hf 178.49 Hf.upf
Ag 107.87 Ag.upf
Cd 112.41 Cd.upf
CELL_PARAMETERS angstrom
5.244 -1.514 -2.073
-3.832 4.234 1.214
-1.269 1.585 8.893
ATOMIC_POSITIONS angstrom
Hf -0.277 3.468 4.659
Ag -0.597 2.535 1.167
Cd -2.411 3.436 6.963
Hf 0.420 0.837 3.375
Ag 0.740 1.770 6.868
Ag 0.000 0.000 0.000
Cd 2.554 0.869 1.072
```

energy relative to the elements: 0.0198 eV/atom



MgRhF: relaxed, PBE-GGA. Values from VASP.

Quantum ESPRESSO input file:
```
&SYSTEM
  ibrav = 0, nat = 12, ntyp = 3
/
ATOMIC_SPECIES
Rh 102.91 Rh.upf
Mg 24.30 Mg.upf
F 19.00 F.upf
CELL_PARAMETERS angstrom
4.662 0.000 0.000
0.000 2.723 0.000
0.000 0.000 13.150
ATOMIC_POSITIONS angstrom
Rh 1.164 2.043 13.041
Mg 3.471 2.043 10.972
Mg 3.522 0.681 4.397
Mg 1.191 0.681 2.178
Rh 3.495 2.043 6.683
F 2.302 0.681 9.866
F 4.633 0.681 9.859
F 2.361 2.043 3.284
Rh 3.498 0.681 0.108
F 0.030 2.043 3.291
Rh 1.167 0.681 6.467
Mg 1.140 2.043 8.753
```

formation energy from raw total energies: -1.57 eV/atom



NbNiB: relaxed, PBE-GGA. Values from VASP.

Quantum ESPRESSO input file:
```
&SYSTEM
  ibrav = 0, nat = 3, ntyp = 3
/
ATOMIC_SPECIES
Ni 58.69 Ni.upf
B 10.81 B.upf
Nb 92.91 Nb.upf
CELL_PARAMETERS angstrom
-0.674 3.426 -0.964
-0.743 -1.114 3.365
2.824 0.806 0.891
ATOMIC_POSITIONS angstrom
Ni -0.697 1.912 0.479
B 0.000 0.000 0.000
Nb 0.692 0.802 2.367
```

energy relative to the elements: -0.2980 eV/atom



BiSbPb: relaxed, PBE-GGA. Values from VASP.

Quantum ESPRESSO input file:
```
&SYSTEM
  ibrav = 0, nat = 6, ntyp = 3
/
ATOMIC_SPECIES
Bi 208.98 Bi.upf
Sb 121.76 Sb.upf
Pb 207.20 Pb.upf
CELL_PARAMETERS angstrom
4.403 0.912 0.035
3.430 5.266 -0.382
0.516 0.410 9.762
ATOMIC_POSITIONS angstrom
Bi 6.575 5.534 9.233
Sb 6.804 5.129 6.038
Pb 5.935 5.449 2.877
Bi 4.413 2.485 0.518
Sb 4.186 2.890 3.713
Pb 5.055 2.570 6.873
```

formation energy from raw total energies: 0.05 eV/atom



Sm3Y4: relaxed, PBE-GGA. Values from VASP.

Quantum ESPRESSO input file:
```
&SYSTEM
  ibrav = 0, nat = 7, ntyp = 2
/
ATOMIC_SPECIES
Y 88.91 Y.upf
Sm 150.36 Sm.upf
CELL_PARAMETERS angstrom
-3.592 -0.054 -0.045
0.042 -3.487 0.862
-2.058 2.507 17.722
ATOMIC_POSITIONS angstrom
Y -1.815 -1.159 2.884
Sm -3.712 -1.095 10.720
Sm -1.896 0.060 7.819
Y -1.978 1.288 12.790
Sm 0.000 0.000 0.000
Y -3.793 0.124 15.655
Y -3.630 -2.323 5.749
```

energy relative to the elements: 0.0194 eV/atom



SrMg2: relaxed, PBE-GGA. Values from VASP.

Quantum ESPRESSO input file:
```
&SYSTEM
  ibrav = 0, nat = 3, ntyp = 2
/
ATOMIC_SPECIES
Mg 24.30 Mg.upf
Sr 87.62 Sr.upf
CELL_PARAMETERS angstrom
-3.300 4.383 -0.193
-1.524 -4.462 2.812
1.642 1.371 3.065
ATOMIC_POSITIONS angstrom
Mg -1.887 2.120 2.341
Mg -1.295 -0.828 3.343
Sr 0.000 0.000 0.000
```

energy relative to the elements: -0.0166 eV/atom



SrZn2Co: relaxed, PBE-GGA. Values from VASP.

Quantum ESPRESSO input file:
```
&SYSTEM
  ibrav = 0, nat = 4, ntyp = 3
/
ATOMIC_SPECIES
Zn 65.41 Zn.upf
Sr 87.62 Sr.upf
Co 58.93 Co.upf
CELL_PARAMETERS angstrom
4.392 0.654 1.891
1.013 -1.709 4.399
2.995 -3.752 0.501
ATOMIC_POSITIONS angstrom
Zn 6.300 -3.605 5.093
Sr 4.200 -2.403 3.395
Co 0.000 0.000 0.000
Zn 2.100 -1.202 1.698
```

energy relative to the elements: 0.2975 eV/atom



PuThAs2: relaxed, PBE-GGA. Values from VASP.

Quantum ESPRESSO input file:
```
&SYSTEM
  ibrav = 0, nat = 8, ntyp = 3
/
ATOMIC_SPECIES
As 74.92 As.upf
Pu 244.00 Pu.upf
Th 232.04 Th.upf
CELL_PARAMETERS angstrom
-0.045 -4.030 1.061
2.498 2.658 2.016
-10.110 2.532 9.188
ATOMIC_POSITIONS angstrom
As -8.110 0.431 9.479
As -5.450 -0.235 7.062
Pu 0.000 0.000 0.000
Th -1.725 -1.168 3.677
As -2.207 1.395 5.203
Pu -5.055 1.266 4.594
Th -5.932 2.328 8.589
As 0.453 0.729 2.786
```

energy relative to the elements: -1.1936 eV/atom



Li8ZnIn2: relaxed, PBE-GGA. Values from VASP.

Quantum ESPRESSO input file:
```
&SYSTEM
  ibrav = 0, nat = 11, ntyp = 3
/
ATOMIC_SPECIES
Li 6.94 Li.upf
Zn 65.41 Zn.upf
In 114.82 In.upf
CELL_PARAMETERS angstrom
4.510 0.018 -1.281
-0.345 5.300 -1.262
-0.136 1.722 7.898
ATOMIC_POSITIONS angstrom
Li 4.117 2.953 5.722
Li 0.557 1.379 1.913
Zn 2.255 0.009 -0.640
Li 2.680 5.384 0.758
Li 1.536 4.354 5.207
In 0.710 4.202 2.387
Li -0.088 4.087 -0.366
In 3.319 2.838 2.968
Li 3.472 5.660 3.442
Li 2.493 2.686 0.148
Li 1.349 1.656 4.597
```

energy relative to the elements: -0.1864 eV/atom



Mn3ReP: relaxed, PBE-GGA. Values from VASP.

Quantum ESPRESSO input file:
```
&SYSTEM
  ibrav = 0, nat = 5, ntyp = 3
/
ATOMIC_SPECIES
Re 186.21 Re.upf
Mn 54.94 Mn.upf
P 30.97 P.upf
CELL_PARAMETERS angstrom
4.617 0.000 0.000
0.000 4.617 0.000
0.000 0.000 4.617
ATOMIC_POSITIONS angstrom
Re 0.000 0.000 0.000
Mn 2.309 0.000 0.000
P 2.309 2.309 2.309
Mn 0.000 0.000 2.309
Mn 0.000 2.309 0.000
```

energy relative to the elements: 1.4370 eV/atom



CaEu2Ge: relaxed, PBE-GGA. Values from VASP.

Quantum ESPRESSO input file:
```
&SYSTEM
  ibrav = 0, nat = 4, ntyp = 3
/
ATOMIC_SPECIES
Ca 40.08 Ca.upf
Ge 72.64 Ge.upf
Eu 151.96 Eu.upf
CELL_PARAMETERS angstrom
4.914 0.000 0.000
0.000 4.914 0.000
0.000 0.000 4.914
ATOMIC_POSITIONS angstrom
Ca 2.457 0.000 0.000
Ge 2.457 2.457 2.457
Eu 0.000 2.457 0.000
Eu 0.000 0.000 2.457
```

energy relative to the elements: -0.2839 eV/atom



Sm2MgCu2Pd5: relaxed, PBE-GGA. Values from VASP.

Quantum ESPRESSO input file:
```
&SYSTEM
  ibrav = 0, nat = 20, ntyp = 4
/
ATOMIC_SPECIES
Pd 106.42 Pd.upf
Mg 24.30 Mg.upf
Cu 63.55 Cu.upf
Sm 150.36 Sm.upf
CELL_PARAMETERS angstrom
3.933 0.000 0.000
0.000 9.538 0.000
0.000 0.000 9.538
ATOMIC_POSITIONS angstrom
Pd 1.967 1.963 0.664
Pd 1.967 0.000 4.769
Pd 1.967 8.873 1.963
Pd 1.967 0.664 7.575
Pd 1.967 2.806 5.433
Mg 0.000 4.769 4.769
Pd 1.967 4.769 0.000
Cu 0.000 3.621 1.148
Mg 0.000 0.000 0.000
Pd 1.967 7.575 8.873
Cu 0.000 1.148 5.916
Pd 1.967 4.105 2.806
Cu 0.000 5.916 8.390
Cu 0.000 8.390 3.621
Sm 0.000 1.679 3.089
Pd 1.967 5.433 6.732
Sm 0.000 6.448 1.679
Sm 0.000 7.858 6.448
Sm 0.000 3.089 7.858
Pd 1.967 6.732 4.105
```

energy relative to the elements: -0.6339 eV/atom



ZrTe2Mo: relaxed, PBE-GGA. Values from VASP.

Quantum ESPRESSO input file:
```
&SYSTEM
  ibrav = 0, nat = 4, ntyp = 3
/
ATOMIC_SPECIES
Mo 95.94 Mo.upf
Te 127.60 Te.upf
Zr 91.22 Zr.upf
CELL_PARAMETERS angstrom
10.538 0.050 0.030
9.959 3.446 0.030
9.959 1.699 2.998
ATOMIC_POSITIONS angstrom
Mo 22.992 3.922 2.308
Te 6.928 1.182 0.695
Zr 14.920 2.545 1.498
Te 0.845 0.144 0.085
```

formation energy from raw total energies: -0.21 eV/atom



KPmSi4: relaxed, PBE-GGA. Values from VASP.

Quantum ESPRESSO input file:
```
&SYSTEM
  ibrav = 0, nat = 6, ntyp = 3
/
ATOMIC_SPECIES
K 39.10 K.upf
Pm 145.00 Pm.upf
Si 28.09 Si.upf
CELL_PARAMETERS angstrom
5.488 0.000 0.000
2.744 4.752 0.000
2.744 1.584 4.481
ATOMIC_POSITIONS angstrom
K 0.000 0.000 0.000
Pm 2.744 1.584 1.120
Si 4.117 3.960 2.800
Si 5.488 1.585 2.800
Si 5.488 3.168 0.561
Si 6.858 3.960 2.800
```

formation energy from raw total energies: -0.06 eV/atom



Pr2Cd2Pt15: relaxed, PBE-GGA. Values from VASP.

Quantum ESPRESSO input file:
```
&SYSTEM
  ibrav = 0, nat = 19, ntyp = 3
/
ATOMIC_SPECIES
Pt 195.08 Pt.upf
Pr 140.91 Pr.upf
Cd 112.41 Cd.upf
CELL_PARAMETERS angstrom
7.056 -0.054 -0.048
0.862 7.004 -0.048
0.862 0.756 6.963
ATOMIC_POSITIONS angstrom
Pt 2.811 0.501 4.757
Pt 0.431 0.378 3.481
Pt 5.107 0.201 2.158
Pt 0.862 2.722 4.757
Pt 5.334 1.595 4.529
Pt 3.445 3.024 5.803
Pt 3.528 -0.027 -0.024
Pt 5.334 4.682 1.064
Pr 5.706 5.008 4.463
Pt 2.273 5.082 4.529
Cd 0.884 0.776 0.691
Cd 7.896 6.930 6.175
Pr 3.074 2.698 2.404
Pt 0.862 5.038 2.158
Pt 6.507 2.623 2.338
Pt 0.431 3.502 -0.024
Pt 5.107 2.167 -0.048
Pt 2.811 4.783 -0.048
Pt 3.445 6.111 2.338
```

energy relative to the elements: -0.4920 eV/atom



P2Pd2Ru: relaxed, PBE-GGA. Values from VASP.

Quantum ESPRESSO input file:
```
&SYSTEM
  ibrav = 0, nat = 10, ntyp = 3
/
ATOMIC_SPECIES
Ru 101.07 Ru.upf
Pd 106.42 Pd.upf
P 30.97 P.upf
CELL_PARAMETERS angstrom
-3.213 3.973 3.089
-4.396 -4.000 0.572
1.748 -1.402 3.622
ATOMIC_POSITIONS angstrom
Ru 0.000 0.000 0.000
Pd -3.272 -2.708 3.034
P -2.043 -0.953 0.617
Ru -3.805 -0.013 1.831
Pd -2.590 1.279 4.249
P -5.004 -2.010 1.636
P -5.566 0.927 3.045
Pd -4.826 -0.674 4.572
P -2.606 1.983 2.025
Pd -1.035 -0.755 2.711
```

energy relative to the elements: -0.3619 eV/atom



SrPSe: relaxed, PBE-GGA. Values from VASP.

Quantum ESPRESSO input file:
```
&SYSTEM
  ibrav = 0, nat = 6, ntyp = 3
/
ATOMIC_SPECIES
P 30.97 P.upf
Se 78.96 Se.upf
Sr 87.62 Sr.upf
CELL_PARAMETERS angstrom
4.571 0.000 0.000
-1.286 4.973 0.000
-0.399 -1.100 8.210
ATOMIC_POSITIONS angstrom
P 3.481 3.347 1.865
P 0.174 2.415 0.448
Se -0.050 2.683 6.752
Se 1.331 -0.362 3.753
Sr 2.266 2.564 4.652
Sr 2.519 0.371 0.984
```

formation energy from raw total energies: -1.04 eV/atom